# 1
Tc8Sb | PBEsol | relaxed

Output
ΔE_f (raw), eV/f.u.: 0.30

Cell lengths 8.247, 8.247, 3.893 Å; angles 90.00, 90.00, 90.00 degrees
Space group I4/mmm (No. 139)
Unique sites:
1 Tc 0.000 0.345 0.000 (multiplicity 8)
2 Tc 0.179 0.179 0.500 (multiplicity 8)
3 Sb 0.000 0.000 0.000 (multiplicity 2)


# 2
KMo2Br | PBEsol | relaxed

Output
Offset from the most stable computed form, meV/atom: 949
ΔE_f (raw), eV/f.u.: 5.35

Cell lengths 2.646, 5.399, 7.201 Å; angles 90.00, 90.00, 90.00 degrees
Space group Pmmm (No. 47)
Unique sites:
1 K 0.000 0.000 0.000 (multiplicity 1)
2 Mo 0.500 0.286 0.500 (multiplicity 2)
3 Br 0.000 0.500 0.000 (multiplicity 1)


# 3
Rh2AuCl | PBEsol | relaxed

Output
Offset from the most stable computed form, meV/atom: 0
ΔE_f (raw), eV/f.u.: 1.27

Cell lengths 2.866, 3.762, 5.664 Å; angles 90.00, 90.00, 90.00 degrees
Space group Pmmm (No. 47)
Unique sites:
1 Rh 0.000 0.000 0.247 (multiplicity 2)
2 Au 0.500 0.500 0.500 (multiplicity 1)
3 Cl 0.000 0.500 0.000 (multiplicity 1)


# 4
ZrCd2SnIr | PBEsol | relaxed

Output
Calculated formation energy, kJ/mol of formula units: 506.2

Cell lengths 5.062, 5.062, 4.844 Å; angles 90.00, 90.00, 90.00 degrees
Space group P4/mmm (No. 123)
Unique sites:
1 Zr 0.000 0.000 0.000 (multiplicity 1)
2 Cd 0.000 0.500 0.500 (multiplicity 2)
3 Sn 0.500 0.500 0.500 (multiplicity 1)
4 Ir 0.500 0.500 0.000 (multiplicity 1)


# 5
SrLaGa3O7 | PBEsol | relaxed

Output
ΔE_f (raw), eV/f.u.: -29.66

Cell lengths 11.337, 11.351, 5.316 Å; angles 90.00, 90.00, 90.00 degrees
Space group Cmm2 (No. 35)
Unique sites:
1 Sr 0.000 0.162 0.000 (multiplicity 4)
2 La 0.163 0.500 0.018 (multiplicity 4)
3 Ga 0.000 0.357 0.542 (multiplicity 4)
4 Ga 0.145 0.000 0.476 (multiplicity 4)
5 Ga 0.250 0.250 0.511 (multiplicity 4)
6 O 0.000 0.000 0.325 (multiplicity 2)
7 O 0.000 0.369 0.203 (multiplicity 4)
8 O 0.000 0.500 0.712 (multiplicity 2)
9 O 0.127 0.292 0.716 (multiplicity 8)
10 O 0.149 0.000 0.815 (multiplicity 4)
11 O 0.217 0.124 0.302 (multiplicity 8)


# 6
KCaIr2 | PBEsol | relaxed

Output
Offset from the most stable computed form, meV/atom: 161
Calculated formation energy, kJ/mol of formula units: 255.5

Cell lengths 3.983, 3.983, 4.710 Å; angles 90.00, 90.00, 90.00 degrees
Space group P4/mmm (No. 123)
Unique sites:
1 K 0.000 0.000 0.000 (multiplicity 1)
2 Ca 0.500 0.500 0.000 (multiplicity 1)
3 Ir 0.000 0.500 0.500 (multiplicity 2)


# 7
TbAl3B4O12 | PBEsol | relaxed

Output
ΔE_f (raw), eV/f.u.: -57.55

Cell lengths 7.193, 9.331, 11.029 Å; angles 90.00, 102.77, 90.00 degrees
Space group C2/c (No. 15)
Unique sites:
1 Tb 0.000 0.035 0.250 (multiplicity 4)
2 Al 0.000 0.413 0.750 (multiplicity 4)
3 Al 0.055 0.248 0.528 (multiplicity 8)
4 B 0.194 0.311 0.222 (multiplicity 8)
5 B 0.250 0.028 0.003 (multiplicity 8)
6 O 0.061 0.235 0.139 (multiplicity 8)
7 O 0.091 0.095 0.932 (multiplicity 8)
8 O 0.099 0.396 0.927 (multiplicity 8)
9 O 0.159 0.266 0.704 (multiplicity 8)
10 O 0.191 0.457 0.240 (multiplicity 8)
11 O 0.248 0.380 0.501 (multiplicity 8)


# 8
Sc2TlAgPb | PBEsol | relaxed

Output
Calculated formation energy, kJ/mol of formula units: 358.2

Cell lengths 5.381, 5.381, 5.640 Å; angles 90.00, 90.00, 90.00 degrees
Space group P4/mmm (No. 123)
Unique sites:
1 Sc 0.000 0.500 0.000 (multiplicity 2)
2 Tl 0.000 0.000 0.500 (multiplicity 1)
3 Ag 0.500 0.500 0.500 (multiplicity 1)
4 Pb 0.000 0.000 0.000 (multiplicity 1)


# 9
CrBiAs2Br | PBEsol | relaxed

Output
ΔE_f (raw), eV/f.u.: 1.38

Cell lengths 4.773, 4.773, 4.930 Å; angles 90.00, 90.00, 90.00 degrees
Space group P4/mmm (No. 123)
Unique sites:
1 Cr 0.000 0.000 0.000 (multiplicity 1)
2 Bi 0.500 0.500 0.500 (multiplicity 1)
3 As 0.000 0.500 0.000 (multiplicity 2)
4 Br 0.000 0.000 0.500 (multiplicity 1)


# 10
Nb2NiTe2 | PBEsol | relaxed

Output
ΔE_f (raw), eV/f.u.: 2.10

Cell lengths 3.820, 3.820, 15.136 Å; angles 90.00, 90.00, 90.00 degrees
Space group I4/mmm (No. 139)
Unique sites:
1 Nb 0.000 0.500 0.250 (multiplicity 4)
2 Ni 0.000 0.000 0.000 (multiplicity 2)
3 Te 0.000 0.000 0.391 (multiplicity 4)


# 11
Cd5Te | PBEsol | relaxed

Output
Offset from the most stable computed form, meV/atom: 18
ΔE_f (raw), eV/f.u.: 0.37

Cell lengths 3.182, 3.182, 13.390 Å; angles 90.00, 90.00, 90.00 degrees
Space group P4/mmm (No. 123)
Unique sites:
1 Cd 0.000 0.000 0.000 (multiplicity 1)
2 Cd 0.000 0.000 0.311 (multiplicity 2)
3 Cd 0.500 0.500 0.157 (multiplicity 2)
4 Te 0.500 0.500 0.500 (multiplicity 1)


# 12
CdSbSe2 | PBEsol | relaxed

Output
ΔE_f (raw), eV/f.u.: -1.13

Cell lengths 3.985, 4.176, 5.777 Å; angles 90.00, 90.00, 90.00 degrees
Space group Pmmm (No. 47)
Unique sites:
1 Cd 0.000 0.000 0.000 (multiplicity 1)
2 Sb 0.500 0.500 0.500 (multiplicity 1)
3 Se 0.000 0.000 0.500 (multiplicity 1)
4 Se 0.500 0.500 0.000 (multiplicity 1)


# 13
YBe2Tc | PBEsol | relaxed

Output
Offset from the most stable computed form, meV/atom: 147
Calculated formation energy, kJ/mol of formula units: 106.1

Cell lengths 3.108, 3.108, 6.268 Å; angles 90.00, 90.00, 90.00 degrees
Space group P4mm (No. 99)
Unique sites:
1 Y 0.000 0.000 0.000 (multiplicity 1)
2 Be 0.000 0.000 0.532 (multiplicity 1)
3 Be 0.500 0.500 0.346 (multiplicity 1)
4 Tc 0.500 0.500 0.692 (multiplicity 1)


# 14
K2LaIr | PBEsol | relaxed

Output
Calculated formation energy, kJ/mol of formula units: 303.2

Cell lengths 4.726, 4.726, 5.612 Å; angles 90.00, 90.00, 90.00 degrees
Space group P4/mmm (No. 123)
Unique sites:
1 K 0.000 0.000 0.233 (multiplicity 2)
2 La 0.500 0.500 0.500 (multiplicity 1)
3 Ir 0.500 0.500 0.000 (multiplicity 1)


# 15
Na2HPd | PBEsol | relaxed

Output
E_tot, eV per atom: -3.11

Cell lengths 9.701, 9.701, 3.371 Å; angles 90.00, 90.00, 90.00 degrees
Space group I-42d (No. 122)
Unique sites:
1 Na 0.074 0.750 0.125 (multiplicity 8)
2 H 0.000 0.000 0.000 (multiplicity 4)
3 Pd 0.000 0.000 0.500 (multiplicity 4)


# 16
RbBe3Al | PBEsol | relaxed

Output
Offset from the most stable computed form, meV/atom: 1469
Calculated formation energy, kJ/mol of formula units: 1212.0

Cell lengths 5.227, 5.227, 5.227 Å; angles 90.00, 90.00, 90.00 degrees
Space group Pm-3m (No. 221)
Unique sites:
1 Rb 0.000 0.000 0.000 (multiplicity 1)
2 Be 0.000 0.000 0.500 (multiplicity 3)
3 Al 0.500 0.500 0.500 (multiplicity 1)


# 17
BaAlHg | PBEsol | relaxed

Output
Offset from the most stable computed form, meV/atom: 631
Calculated formation energy, kJ/mol of formula units: 86.5

Cell lengths 7.564, 7.564, 7.564 Å; angles 90.00, 90.00, 90.00 degrees
Space group F-43m (No. 216)
Unique sites:
1 Ba 0.000 0.000 0.000 (multiplicity 4)
2 Al 0.250 0.250 0.750 (multiplicity 4)
3 Hg 0.250 0.250 0.250 (multiplicity 4)


# 18
YH12Cl3O6 | PBEsol | relaxed

Output
E_tot, eV per atom: -5.13

Cell lengths 7.689, 6.447, 11.789 Å; angles 90.00, 127.00, 90.00 degrees
Space group P2/c (No. 13)
Unique sites:
1 Y 0.000 0.158 0.250 (multiplicity 2)
2 H 0.034 0.445 0.886 (multiplicity 4)
3 H 0.206 0.476 0.185 (multiplicity 4)
4 H 0.236 0.099 0.125 (multiplicity 4)
5 H 0.321 0.086 0.735 (multiplicity 4)
6 H 0.368 0.330 0.535 (multiplicity 4)
7 H 0.473 0.244 0.463 (multiplicity 4)
8 Cl 0.204 0.171 0.941 (multiplicity 4)
9 Cl 0.500 0.365 0.750 (multiplicity 2)
10 O 0.057 0.427 0.146 (multiplicity 4)
11 O 0.254 0.053 0.213 (multiplicity 4)
12 O 0.332 0.293 0.441 (multiplicity 4)


# 19
LiNiSnF2 | PBEsol | relaxed

Output
ΔE_f (raw), eV/f.u.: -2.11

Cell lengths 4.297, 4.297, 6.139 Å; angles 90.00, 90.00, 90.00 degrees
Space group P4/mmm (No. 123)
Unique sites:
1 Li 0.000 0.000 0.000 (multiplicity 1)
2 Ni 0.500 0.500 0.000 (multiplicity 1)
3 Sn 0.000 0.000 0.500 (multiplicity 1)
4 F 0.000 0.500 0.500 (multiplicity 2)


# 20
Ba2NbF | PBEsol | relaxed

Output
ΔE_f (raw), eV/f.u.: 0.16

Cell lengths 7.911, 7.911, 7.911 Å; angles 90.00, 90.00, 90.00 degrees
Space group Fm-3m (No. 225)
Unique sites:
1 Ba 0.250 0.250 0.250 (multiplicity 8)
2 Nb 0.000 0.000 0.000 (multiplicity 4)
3 F 0.000 0.000 0.500 (multiplicity 4)


# 21
Zr2CdW | PBEsol | relaxed

Output
Calculated formation energy, kJ/mol of formula units: -14.5

Cell lengths 3.394, 3.394, 6.844 Å; angles 90.00, 90.00, 90.00 degrees
Space group P4/mmm (No. 123)
Unique sites:
1 Zr 0.000 0.000 0.226 (multiplicity 2)
2 Cd 0.500 0.500 0.500 (multiplicity 1)
3 W 0.500 0.500 0.000 (multiplicity 1)


# 22
Al2BPtAu | PBEsol | relaxed

Output
Calculated formation energy, kJ/mol of formula units: 317.4

Cell lengths 4.787, 4.787, 3.944 Å; angles 90.00, 90.00, 90.00 degrees
Space group P4/mmm (No. 123)
Unique sites:
1 Al 0.000 0.500 0.000 (multiplicity 2)
2 B 0.000 0.000 0.500 (multiplicity 1)
3 Pt 0.500 0.500 0.500 (multiplicity 1)
4 Au 0.000 0.000 0.000 (multiplicity 1)


# 23
CuPIr | PBEsol | relaxed

Output
Offset from the most stable computed form, meV/atom: 0
Calculated formation energy, kJ/mol of formula units: -50.3

Cell lengths 5.469, 5.469, 5.469 Å; angles 90.00, 90.00, 90.00 degrees
Space group F-43m (No. 216)
Unique sites:
1 Cu 0.000 0.000 0.000 (multiplicity 4)
2 P 0.250 0.250 0.750 (multiplicity 4)
3 Ir 0.000 0.000 0.500 (multiplicity 4)


# 24
Li2CrTe | PBEsol | relaxed

Output
ΔE_f (raw), eV/f.u.: 0.22

Cell lengths 3.799, 3.799, 7.831 Å; angles 90.00, 90.00, 90.00 degrees
Space group I-4m2 (No. 119)
Unique sites:
1 Li 0.000 0.000 0.000 (multiplicity 2)
2 Li 0.000 0.500 0.250 (multiplicity 2)
3 Cr 0.000 0.500 0.750 (multiplicity 2)
4 Te 0.000 0.000 0.500 (multiplicity 2)


Summary of total magnetization in μB per formula unit
0.00; 0.00; 0.00; 0.00; 0.00; 0.00; 0.00; 0.00; 2.56; 0.75; 0.00; 0.00; 0.00; 0.00; 0.00; 0.00; 0.00; 0.00; 0.93; 4.63; 0.00; 0.00; 0.00; 0.00
(order as listed above)